The following is a PBE calculation of a relaxed Nd2ThIr crystal, from the Alexandria database.

Properties
Total DFT energy (no corrections) (eV per cell): -110.887
Energy above the most stable polymorph in this dataset (eV/atom): 0.000
DFT formation energy (eV/atom): -0.48
V (Å³ per atom): 30.030

a = 6.617 Å, b = 7.234 Å, c = 10.038 Å
α = 90.00°, β = 90.00°, γ = 90.00°
Sites, in units of the cell vectors:
Nd1 0.332 0.178 0.065
Nd2 0.668 0.822 0.935
Nd3 0.832 0.322 0.935
Nd4 0.168 0.678 0.435
Nd5 0.332 0.178 0.435
Nd6 0.168 0.678 0.065
Nd7 0.832 0.322 0.565
Nd8 0.668 0.822 0.565
Ir1 0.459 0.871 0.250
Ir2 0.541 0.129 0.750
Ir3 0.041 0.371 0.250
Ir4 0.959 0.629 0.750
Th1 0.663 0.541 0.250
Th2 0.337 0.459 0.750
Th3 0.163 0.959 0.750
Th4 0.837 0.041 0.250